# KRbZr2Ga (PBE, relaxed)
# Formation energy   0.7528 eV/atom
# Space-group type   P4/mmm
# DFT total energy   -18.4 eV per formula unit
data_KRbZr2Ga
_chemical_formula_sum 'K1 Rb1 Zr2 Ga1'
_cell_length_a 5.290
_cell_length_b 5.290
_cell_length_c 6.811
_cell_angle_alpha 90.00
_cell_angle_beta 90.00
_cell_angle_gamma 90.00
_symmetry_space_group_name_H-M 'P 1'
_symmetry_Int_Tables_number 1
_symmetry_space_group_name_Hall 'P 1'
loop_
_atom_site_label
_atom_site_fract_x
_atom_site_fract_y
_atom_site_fract_z
_atom_site_occupancy
K1 0.000 0.000 0.000 1
Rb1 0.500 0.500 0.000 1
Zr1 0.000 0.500 0.500 1
Zr2 0.500 0.000 0.500 1
Ga1 0.500 0.500 0.500 1